A crystal of YTcTe relaxed with PBEsol, computed with meta-GGA SCAN.

Cell and atoms, written as CIF:
```
data_YTcTe
_chemical_formula_sum 'Y2 Tc2 Te2'
_cell_length_a 3.319
_cell_length_b 3.319
_cell_length_c 11.446
_cell_angle_alpha 90.00
_cell_angle_beta 90.00
_cell_angle_gamma 90.00
_space_group_name_H-M_alt 'I 4 m m'
_space_group_IT_number 107
_space_group_name_Hall 'I 4 -2'
loop_
_atom_site_label
_atom_site_type_symbol
_atom_site_fract_x
_atom_site_fract_y
_atom_site_fract_z
_atom_site_occupancy
Y1 Y 0.000 0.000 0.000 1
Tc1 Tc 0.000 0.000 0.330 1
Te1 Te 0.000 0.000 0.712 1
```

Summary:
The value obtained for the electronic total energy is -33.69 eV per atom. As for the volume: 126 Å³ per cell. Its formation energy without anion corrections is -0.3099 eV per atom. The value obtained for the density of states at the Fermi level is 0.58 states/eV/f.u. Its spin magnetization is 0.00 μB/f.u.